(1)
VASP calculation (meta-GGA SCAN) on a PBEsol-optimized structure of MnInI3.

## Properties
formation energy (no corrections) = -0.526 eV/atom
size of the total moment = 5.00 Bohr magnetons per cell

Cell: 5.5845 5.5845 5.5845 Å, 90.00 90.00 90.00°
Closest atoms and distances in Å follow each position.
Space group Pm-3m (No. 221)
Asymmetric unit:
Mn: 0.0000 0.0000 0.0000 x1  6 I 2.79
In: 0.5000 0.5000 0.5000 x1  12 I 3.95
I: 0.0000 0.0000 0.5000 x3  2 Mn 2.79

=====

(2)
VASP calculation (meta-GGA SCAN) on a PBEsol-optimized structure of MnInI2N.

## Properties
formation energy (no corrections) = 0.595 eV/atom
size of the total moment = 6.73 Bohr magnetons per cell

Cell: 5.9489 5.9489 3.9447 Å, 90.00 90.00 90.00°
Closest atoms and distances in Å follow each position.
Space group P4/mmm (No. 123)
Asymmetric unit:
Mn: 0.0000 0.0000 0.0000 x1  8 I 3.57, 2 Mn 3.94
In: 0.5000 0.5000 0.5000 x1  2 N 1.97
I: 0.0000 0.5000 0.5000 x2  2 In 2.97
N: 0.5000 0.5000 0.0000 x1  2 In 1.97

=====

(3)
VASP calculation (meta-GGA SCAN) on a PBEsol-optimized structure of MnInTeI2.

## Properties
formation energy (no corrections) = -0.272 eV/atom
size of the total moment = 4.31 Bohr magnetons per cell

Cell: 5.4820 5.4820 5.2740 Å, 90.00 90.00 90.00°
Closest atoms and distances in Å follow each position.
Space group P4/mmm (No. 123)
Asymmetric unit:
Mn: 0.0000 0.0000 0.0000 x1  2 Te 2.64, 4 I 2.74
In: 0.5000 0.5000 0.5000 x1  8 I 3.80, 4 Te 3.88
Te: 0.0000 0.0000 0.5000 x1  2 Mn 2.64
I: 0.0000 0.5000 0.0000 x2  2 Mn 2.74

=====

(4)
VASP calculation (meta-GGA SCAN) on a PBEsol-optimized structure of In3MoI.

## Properties
formation energy (no corrections) = 1.390 eV/atom
size of the total moment = 4.98 Bohr magnetons per cell

Cell: 5.9875 5.9875 5.9875 Å, 90.00 90.00 90.00°
Closest atoms and distances in Å follow each position.
Space group Pm-3m (No. 221)
Asymmetric unit:
In: 0.0000 0.0000 0.5000 x3  2 I 2.99
Mo: 0.5000 0.5000 0.5000 x1  12 In 4.23
I: 0.0000 0.0000 0.0000 x1  6 In 2.99

=====

(5)
VASP calculation (meta-GGA SCAN) on a PBEsol-optimized structure of InMoIN2.

## Properties
formation energy (no corrections) = 0.635 eV/atom
size of the total moment = 0.05 Bohr magnetons per cell

Cell: 4.0535 4.0535 5.5598 Å, 90.00 90.00 90.00°
Closest atoms and distances in Å follow each position.
Space group P4/mmm (No. 123)
Asymmetric unit:
In: 0.0000 0.0000 0.0000 x1  4 I 2.87
Mo: 0.5000 0.5000 0.5000 x1  4 N 2.03
I: 0.5000 0.5000 0.0000 x1  2 Mo 2.78, 4 In 2.87
N: 0.0000 0.5000 0.5000 x2  2 Mo 2.03

=====

(6)
VASP calculation (meta-GGA SCAN) on a PBEsol-optimized structure of InI2N.

## Properties
formation energy (no corrections) = 1.009 eV/atom
size of the total moment = 9.08 Bohr magnetons per cell

Cell: 7.5200 7.5200 7.5200 Å, 90.00 90.00 90.00°
Closest atoms and distances in Å follow each position.
Space group Fm-3m (No. 225)
Asymmetric unit:
In: 0.0000 0.0000 0.0000 x4  8 I 3.26
I: 0.2500 0.2500 0.2500 x8  4 In 3.26, 4 N 3.26
N: 0.0000 0.0000 0.5000 x4  8 I 3.26

=====

(7)
VASP calculation (meta-GGA SCAN) on a PBEsol-optimized structure of NaInIN2.

## Properties
formation energy (no corrections) = 0.710 eV/atom
energy above the most stable polymorph in this dataset = 0 meV/atom
size of the total moment = 3.00 Bohr magnetons per cell

Cell: 4.3116 4.3116 6.2879 Å, 90.00 90.00 90.00°
Closest atoms and distances in Å follow each position.
Space group P4/mmm (No. 123)
Asymmetric unit:
Na: 0.0000 0.0000 0.0000 x1  4 I 3.05
In: 0.5000 0.5000 0.5000 x1  4 N 2.16
I: 0.5000 0.5000 0.0000 x1  4 Na 3.05, 2 In 3.14
N: 0.0000 0.5000 0.5000 x2  2 In 2.16

=====

(8)
VASP calculation (meta-GGA SCAN) on a PBEsol-optimized structure of NaInIN2.

## Properties
formation energy (no corrections) = 1.290 eV/atom
energy above the most stable polymorph in this dataset = 580 meV/atom
size of the total moment = 5.00 Bohr magnetons per cell

Cell: 4.7641 4.7641 5.9031 Å, 90.00 90.00 90.00°
Closest atoms and distances in Å follow each position.
Space group P4/mmm (No. 123)
Asymmetric unit:
Na: 0.0000 0.0000 0.0000 x1  4 N 2.38
In: 0.5000 0.5000 0.5000 x1  4 I 3.37
I: 0.0000 0.0000 0.5000 x1  2 Na 2.95
N: 0.0000 0.5000 0.0000 x2  2 Na 2.38

=====

(9)
VASP calculation (meta-GGA SCAN) on a PBEsol-optimized structure of NaInI2N.

## Properties
formation energy (no corrections) = 0.278 eV/atom
size of the total moment = 3.01 Bohr magnetons per cell

Cell: 5.9338 5.9338 4.6219 Å, 90.00 90.00 90.00°
Closest atoms and distances in Å follow each position.
Space group P4/mmm (No. 123)
Asymmetric unit:
Na: 0.0000 0.0000 0.0000 x1  2 N 2.31
In: 0.5000 0.5000 0.5000 x1  8 I 3.76, 4 N 4.20
I: 0.0000 0.5000 0.0000 x2  2 Na 2.97
N: 0.0000 0.0000 0.5000 x1  2 Na 2.31

=====

(10)
VASP calculation (meta-GGA SCAN) on a PBEsol-optimized structure of InOsI2N.

## Properties
formation energy (no corrections) = 1.756 eV/atom
energy above the most stable polymorph in this dataset = 1448 meV/atom
size of the total moment = 4.46 Bohr magnetons per cell

Cell: 5.8095 5.8095 3.8855 Å, 90.00 90.00 90.00°
Closest atoms and distances in Å follow each position.
Space group P4/mmm (No. 123)
Asymmetric unit:
In: 0.0000 0.0000 0.0000 x1  2 N 1.94
Os: 0.5000 0.5000 0.5000 x1  8 I 3.49, 2 Os 3.89
I: 0.0000 0.5000 0.0000 x2  2 In 2.90
N: 0.0000 0.0000 0.5000 x1  2 In 1.94

=====

(11)
VASP calculation (meta-GGA SCAN) on a PBEsol-optimized structure of InOsI2N.

## Properties
formation energy (no corrections) = 0.309 eV/atom
energy above the most stable polymorph in this dataset = 0 meV/atom
size of the total moment = 0.00 Bohr magnetons per cell

Cell: 5.6272 5.6272 3.7423 Å, 90.00 90.00 90.00°
Closest atoms and distances in Å follow each position.
Space group P4/mmm (No. 123)
Asymmetric unit:
In: 0.0000 0.0000 0.0000 x1  8 I 3.38, 2 In 3.74
Os: 0.5000 0.5000 0.5000 x1  2 N 1.87
I: 0.0000 0.5000 0.5000 x2  2 Os 2.81
N: 0.5000 0.5000 0.0000 x1  2 Os 1.87

=====

(12)
VASP calculation (meta-GGA SCAN) on a PBEsol-optimized structure of InPtIN2.

## Properties
formation energy (no corrections) = 1.598 eV/atom
size of the total moment = 3.42 Bohr magnetons per cell

Cell: 4.0586 4.0586 6.4073 Å, 90.00 90.00 90.00°
Closest atoms and distances in Å follow each position.
Space group P4/mmm (No. 123)
Asymmetric unit:
In: 0.0000 0.0000 0.0000 x1  4 N 2.03
Pt: 0.5000 0.5000 0.5000 x1  4 I 2.87
I: 0.0000 0.0000 0.5000 x1  4 Pt 2.87, 2 In 3.20
N: 0.0000 0.5000 0.0000 x2  2 In 2.03

=====

(13)
VASP calculation (meta-GGA SCAN) on a PBEsol-optimized structure of InRhIN2.

## Properties
formation energy (no corrections) = 1.125 eV/atom
size of the total moment = 3.42 Bohr magnetons per cell

Cell: 4.0095 4.0095 5.4738 Å, 90.00 90.00 90.00°
Closest atoms and distances in Å follow each position.
Space group P4/mmm (No. 123)
Asymmetric unit:
In: 0.0000 0.0000 0.0000 x1  4 I 2.84
Rh: 0.5000 0.5000 0.5000 x1  4 N 2.00
I: 0.5000 0.5000 0.0000 x1  2 Rh 2.74, 4 In 2.84
N: 0.0000 0.5000 0.5000 x2  2 Rh 2.00

=====

(14)
VASP calculation (meta-GGA SCAN) on a PBEsol-optimized structure of InSIN2.

## Properties
formation energy (no corrections) = 1.521 eV/atom
energy above the most stable polymorph in this dataset = 0 meV/atom
size of the total moment = 0.00 Bohr magnetons per cell

Cell: 4.0062 4.0062 5.3285 Å, 90.00 90.00 90.00°
Closest atoms and distances in Å follow each position.
Space group P4/mmm (No. 123)
Asymmetric unit:
In: 0.0000 0.0000 0.0000 x1  4 S 2.83
S: 0.5000 0.5000 0.0000 x1  2 I 2.66, 4 In 2.83
I: 0.5000 0.5000 0.5000 x1  4 N 2.00
N: 0.0000 0.5000 0.5000 x2  2 I 2.00

=====

(15)
VASP calculation (meta-GGA SCAN) on a PBEsol-optimized structure of InSIN2.

## Properties
formation energy (no corrections) = 1.729 eV/atom
energy above the most stable polymorph in this dataset = 208 meV/atom
size of the total moment = 1.86 Bohr magnetons per cell

Cell: 3.9025 3.9025 6.4097 Å, 90.00 90.00 90.00°
Closest atoms and distances in Å follow each position.
Space group P4/mmm (No. 123)
Asymmetric unit:
In: 0.0000 0.0000 0.0000 x1  4 I 2.76
S: 0.5000 0.5000 0.5000 x1  4 N 1.95
I: 0.5000 0.5000 0.0000 x1  4 In 2.76
N: 0.0000 0.5000 0.5000 x2  2 S 1.95

=====

(16)
VASP calculation (meta-GGA SCAN) on a PBEsol-optimized structure of InSb2IN.

## Properties
formation energy (no corrections) = 1.430 eV/atom
size of the total moment = 0.87 Bohr magnetons per cell

Cell: 5.6204 5.6204 5.9487 Å, 90.00 90.00 90.00°
Closest atoms and distances in Å follow each position.
Space group P4/mmm (No. 123)
Asymmetric unit:
In: 0.0000 0.0000 0.0000 x1  4 Sb 2.81, 2 I 2.97
Sb: 0.0000 0.5000 0.0000 x2  2 In 2.81
I: 0.0000 0.0000 0.5000 x1  2 In 2.97
N: 0.5000 0.5000 0.5000 x1  4 I 3.97, 8 Sb 4.09

=====

(17)
VASP calculation (meta-GGA SCAN) on a PBEsol-optimized structure of InSbI2N.

## Properties
formation energy (no corrections) = 0.735 eV/atom
size of the total moment = 0.85 Bohr magnetons per cell

Cell: 5.9942 5.9942 3.9110 Å, 90.00 90.00 90.00°
Closest atoms and distances in Å follow each position.
Space group P4/mmm (No. 123)
Asymmetric unit:
In: 0.0000 0.0000 0.0000 x1  2 N 1.96
Sb: 0.5000 0.5000 0.5000 x1  8 I 3.58, 2 Sb 3.91
I: 0.0000 0.5000 0.0000 x2  2 In 3.00
N: 0.0000 0.0000 0.5000 x1  2 In 1.96

=====

(18)
VASP calculation (meta-GGA SCAN) on a PBEsol-optimized structure of TlInI2N.

## Properties
formation energy (no corrections) = 0.181 eV/atom
size of the total moment = 1.02 Bohr magnetons per cell

Cell: 6.0836 6.0836 4.0535 Å, 90.00 90.00 90.00°
Closest atoms and distances in Å follow each position.
Space group P4/mmm (No. 123)
Asymmetric unit:
Tl: 0.0000 0.0000 0.0000 x1  8 I 3.66, 2 Tl 4.05
In: 0.5000 0.5000 0.5000 x1  2 N 2.03
I: 0.0000 0.5000 0.5000 x2  2 In 3.04
N: 0.5000 0.5000 0.0000 x1  2 In 2.03

=====

(19)
VASP calculation (meta-GGA SCAN) on a PBEsol-optimized structure of YInI2N.

## Properties
formation energy (no corrections) = 0.150 eV/atom
size of the total moment = 0.00 Bohr magnetons per cell

Cell: 5.9888 5.9888 3.8574 Å, 90.00 90.00 90.00°
Closest atoms and distances in Å follow each position.
Space group P4/mmm (No. 123)
Asymmetric unit:
Y: 0.0000 0.0000 0.0000 x1  8 I 3.56, 2 Y 3.86
In: 0.5000 0.5000 0.5000 x1  2 N 1.93
I: 0.0000 0.5000 0.5000 x2  2 In 2.99
N: 0.5000 0.5000 0.0000 x1  2 In 1.93

=====

(20)
VASP calculation (meta-GGA SCAN) on a PBEsol-optimized structure of Na2InI.

## Properties
formation energy (no corrections) = -0.300 eV/atom
size of the total moment = 0.00 Bohr magnetons per cell

Cell: 7.8944 7.8944 7.8944 Å, 90.00 90.00 90.00°
Closest atoms and distances in Å follow each position.
Space group Fm-3m (No. 225)
Asymmetric unit:
Na: 0.2500 0.2500 0.2500 x8  4 In 3.42, 4 I 3.42
In: 0.0000 0.0000 0.0000 x4  8 Na 3.42
I: 0.0000 0.0000 0.5000 x4  8 Na 3.42